1.
Material: SrTm2IrO8
Method: DFT, PBE
State: optimized geometry

The space group is P-1 (No. 2) and the conventional cell measures 4.070, 5.262 and 7.007 Å, with angles of 88.70, 73.84 and 89.31 degrees. The asymmetric unit holds Sr at (0.000, 0.000, 0.000), Tm at (0.379, 0.522, 0.293), Ir at (0.000, 0.000, 0.500), O at (0.178, 0.322, 0.591), O at (0.182, 0.487, 0.002), O at (0.204, 0.782, 0.648) and O at (0.364, 0.941, 0.240).

The total energy comes out at -7.059 eV per atom. The calculation puts the energy relative to the elements, uncorrected at -2.13 eV per atom. The density of states at the Fermi level comes out at 4.2 states/eV/cell.


2.
Material: SrTmIr2O8
Method: DFT, PBE
State: optimized geometry

The space group is P-3 (No. 147) and the conventional cell measures 5.9001, 5.9001 and 7.1800 Å, with angles of 90.00, 90.00 and 120.00 degrees. The asymmetric unit holds Sr at (0.0000, 0.0000, 0.0000), Tm at (0.0000, 0.0000, 0.5000), Ir at (0.3333, 0.6667, 0.7804), O at (0.1576, 0.3173, 0.7078) and O at (0.3333, 0.6667, 0.0340).

The total energy comes out at -6.658 eV per atom. The calculation puts the energy relative to the elements, uncorrected at -1.36 eV per atom. The density of states at the Fermi level comes out at 11.1 states/eV/cell.


3.
Material: Sr2TmIr3O12
Method: DFT, PBE
State: optimized geometry

The space group is R-3m (No. 166, hexagonal axes) and the conventional cell measures 7.2786, 7.2786 and 15.6158 Å, with angles of 90.00, 90.00 and 120.00 degrees. The asymmetric unit holds Sr at (0.0000, 0.0000, 0.1136), Tm at (0.0000, 0.0000, 0.5000), Ir at (0.0000, 0.5000, 0.0000), O at (0.0211, 0.5106, 0.8783) and O at (0.0507, 0.5253, 0.3222).

The total energy comes out at -6.732 eV per atom. The calculation puts the energy relative to the elements, uncorrected at -1.51 eV per atom. The density of states at the Fermi level comes out at 32.1 states/eV/cell.